Entry from Alexandria: an optimized crystal structure of Pr6Tm5Th2 (PBE-GGA).

The theoretical density is 8.110 g/cm³. For the density of states at the Fermi level, the calculation gives 1.28 states/eV per atom. The calculated total energy comes out at -4.9382 eV per atom. The value obtained for the formation enthalpy at 0 K is 1.677 eV/f.u.

The space group is Pbam (No. 55) and the conventional cell measures 11.793, 20.493 and 3.650 Å, with angles of 90.00, 90.00 and 90.00 degrees. The inequivalent atoms are Pr at (0.065, 0.075, 0.000), Pr at (0.080, 0.364, 0.000), Pr at (0.176, 0.629, 0.500), Tm at (0.000, 0.500, 0.500), Tm at (0.091, 0.221, 0.500), Tm at (0.195, 0.936, 0.500) and Th at (0.169, 0.780, 0.000).

Entry from Alexandria: an optimized crystal structure of DyMnSi3Os (PBE-GGA).

The theoretical density is 7.924 g/cm³. For the density of states at the Fermi level, the calculation gives 0.15 states/eV per atom. The calculated total energy comes out at -7.1995 eV per atom. For the formation energy from raw total energies, the calculation gives -0.32 eV/atom.

The space group is Cmcm (No. 63) and the conventional cell measures 5.774, 11.440 and 6.242 Å, with angles of 90.00, 90.00 and 90.00 degrees. The inequivalent atoms are Dy at (0.000, 0.231, 0.250), Mn at (0.000, 0.498, 0.250), Si at (0.000, 0.318, 0.750), Si at (0.211, 0.000, 0.000) and Os at (0.000, 0.122, 0.750).

Entry from Alexandria: an optimized crystal structure of Cd3SiSe (PBE-GGA).

The energy above the lowest structure with this stoichiometry is 0.0 meV/atom. The theoretical density is 5.671 g/cm³. For the density of states at the Fermi level, the calculation gives 0.31 states/eV per atom. The calculated total energy comes out at -2.1115 eV per atom. For the formation energy from raw total energies, the calculation gives 0.22 eV/atom.

The space group is Pm-3m (No. 221) and the conventional cell measures 5.067, 5.067 and 5.067 Å, with angles of 90.00, 90.00 and 90.00 degrees. The inequivalent atoms are Cd at (0.000, 0.000, 0.500), Si at (0.000, 0.000, 0.000) and Se at (0.500, 0.500, 0.500).

Entry from Alexandria: an optimized crystal structure of Li2TaHgW (PBE-GGA).

The theoretical density is 8.288 g/cm³. For the density of states at the Fermi level, the calculation gives 0.69 states/eV per atom. The calculated total energy comes out at -4.2866 eV per atom. The value obtained for the formation enthalpy at 0 K is 7.502 eV/f.u.

The space group is P4/mmm (No. 123) and the conventional cell measures 4.957, 4.957 and 4.723 Å, with angles of 90.00, 90.00 and 90.00 degrees. The inequivalent atoms are Li at (0.000, 0.500, 0.000), Ta at (0.000, 0.000, 0.000), Hg at (0.500, 0.500, 0.500) and W at (0.000, 0.000, 0.500).

Calculated spin magnetization (μB per cell), listed in the same order as above: 0.0, 0.0, 0.0, 0.4